Record 1
# Ta2AgAsRh

Crystalline Ta2AgAsRh at its relaxed geometry (PBE, the Alexandria database).

Results
energy: -0.2111 Ha/atom
crystal system: tetragonal
calculated formation energy: 1.967 eV per atom
symmetry: P4/mmm, No. 123

Unit cell a=4.9671 b=4.5325 c=4.9671 alpha=90.00 beta=90.00 gamma=90.00
Positions (direct):
As 0.0000 0.5000 0.0000
Rh 0.5000 0.5000 0.5000
Ag 0.0000 0.0000 0.0000
Ta 0.0000 0.0000 0.5000
Ta 0.5000 0.0000 0.0000

***

Record 2
# TcAgAs2Rh

Crystalline TcAgAs2Rh at its relaxed geometry (PBE, the Alexandria database).

Results
energy: -0.1862 Ha/atom
crystal system: tetragonal
calculated formation energy: 0.907 eV per atom
symmetry: P4/mmm, No. 123

Unit cell a=4.6331 b=5.1501 c=4.6331 alpha=90.00 beta=90.00 gamma=90.00
Positions (direct):
As 0.0000 0.0000 0.5000
As 0.5000 0.0000 0.0000
Rh 0.5000 0.5000 0.5000
Tc 0.0000 0.0000 0.0000
Ag 0.0000 0.5000 0.0000

***

Record 3
# Th2AgAs3Rh4

Crystalline Th2AgAs3Rh4 at its relaxed geometry (PBE, the Alexandria database).

Results
energy: -0.2542 Ha/atom
crystal system: tetragonal
calculated formation energy: -0.813 eV per atom
symmetry: P-4m2, No. 115

Unit cell a=4.0783 b=4.0783 c=11.3060 alpha=90.00 beta=90.00 gamma=90.00
Positions (direct):
Th 0.5000 0.0000 0.2515
Th 0.0000 0.5000 0.7485
Ag 0.5000 0.5000 0.5000
As 0.0000 0.0000 0.5000
As 0.5000 0.0000 0.8734
As 0.0000 0.5000 0.1266
Rh 0.5000 0.5000 0.0000
Rh 0.0000 0.0000 0.0000
Rh 0.5000 0.0000 0.6630
Rh 0.0000 0.5000 0.3370

***

Record 4
# TlAg2AsRh

Crystalline TlAg2AsRh at its relaxed geometry (PBE, the Alexandria database).

Results
energy: -0.1163 Ha/atom
crystal system: tetragonal
calculated formation energy: 0.849 eV per atom
symmetry: P4/mmm, No. 123

Unit cell a=4.7920 b=4.7920 c=5.5038 alpha=90.00 beta=90.00 gamma=90.00
Site moments in Bohr magnetons follow the coordinates.
Positions (direct):
Tl 0.0000 0.0000 0.5000  0.00
Rh 0.5000 0.5000 0.5000  0.72
As 0.0000 0.0000 0.0000  0.00
Ag 0.0000 0.5000 0.0000  0.00
Ag 0.5000 0.0000 0.0000  0.00

***

Record 5
# AgAsRu2

Crystalline AgAsRu2 at its relaxed geometry (PBE, the Alexandria database).

Results
energy: -0.2236 Ha/atom
crystal system: monoclinic
calculated formation energy: 0.428 eV per atom
symmetry: P2/m, No. 10

Unit cell a=2.9019 b=5.0401 c=5.3120 alpha=52.13 beta=90.00 gamma=90.00
Positions (direct):
Ru 0.0000 0.0000 0.0000
Ru 0.5000 0.5000 0.0000
As 0.0000 0.0000 0.5000
Ag 0.5000 0.5000 0.5000

***

Record 6
# AgAs2Ru

Crystalline AgAs2Ru at its relaxed geometry (PBE, the Alexandria database).

Results
energy: -0.1878 Ha/atom
crystal system: trigonal
calculated formation energy: 0.247 eV per atom
energy above the most stable polymorph in this dataset: 225 meV/atom
symmetry: R3m, No. 160

Unit cell a=9.0590 b=9.0590 c=9.0590 alpha=19.35 beta=19.35 gamma=19.35
Positions (direct):
Ru 0.5075 0.5075 0.5075
As 0.0023 0.0023 0.0023
As 0.2368 0.2368 0.2368
Ag 0.7534 0.7534 0.7534

***

Record 7
# AgAsRu2

Crystalline AgAsRu2 at its relaxed geometry (PBE, the Alexandria database).

Results
energy: -0.2280 Ha/atom
crystal system: orthorhombic
calculated formation energy: 0.310 eV per atom
symmetry: Pmm2, No. 25

Unit cell a=2.8447 b=3.7579 c=6.0287 alpha=90.00 beta=90.00 gamma=90.00
Positions (direct):
Ru 0.0000 0.0000 0.0138
Ru 0.5000 0.5000 0.2086
As 0.5000 0.5000 0.7919
Ag 0.0000 0.0000 0.4858

***

Record 8
# AgAs2Ru

Crystalline AgAs2Ru at its relaxed geometry (PBE, the Alexandria database).

Results
energy: -0.1904 Ha/atom
crystal system: monoclinic
calculated formation energy: 0.175 eV per atom
energy above the most stable polymorph in this dataset: 152 meV/atom
symmetry: Pm, No. 6

Unit cell a=4.9065 b=3.1900 c=4.5215 alpha=80.60 beta=90.00 gamma=90.00
Positions (direct):
Ru 0.0000 0.2989 0.4490
As 0.0000 0.9196 0.0231
As 0.5000 0.4002 0.2723
Ag 0.5000 0.8814 0.7556

***

Record 9
# AgAsRu2

Crystalline AgAsRu2 at its relaxed geometry (PBE, the Alexandria database).

Results
energy: -0.2203 Ha/atom
crystal system: cubic
calculated formation energy: 0.519 eV per atom
symmetry: F-43m, No. 216

Unit cell a=4.4475 b=4.4475 c=4.4475 alpha=60.00 beta=60.00 gamma=60.00
Positions (direct):
Ru 0.0000 0.0000 0.0000
Ru 0.2500 0.2500 0.2500
As 0.7500 0.7500 0.7500
Ag 0.5000 0.5000 0.5000

***

Record 10
# AgAs2Ru

Crystalline AgAs2Ru at its relaxed geometry (PBE, the Alexandria database).

Results
energy: -0.1862 Ha/atom
crystal system: orthorhombic
calculated formation energy: 0.291 eV per atom
energy above the most stable polymorph in this dataset: 268 meV/atom
symmetry: Cmmm, No. 65

Unit cell a=7.2227 b=4.5619 c=3.1849 alpha=89.95 beta=63.90 gamma=129.65
Positions (direct):
Ru 0.0000 0.5000 0.5000
As 0.0000 0.0000 0.0000
As 0.5000 0.0000 0.5000
Ag 0.5000 0.5000 0.0000

***

Record 11
# AgAs2Ru

Crystalline AgAs2Ru at its relaxed geometry (PBE, the Alexandria database).

Results
energy: -0.1892 Ha/atom
crystal system: orthorhombic
calculated formation energy: 0.208 eV per atom
energy above the most stable polymorph in this dataset: 186 meV/atom
symmetry: Immm, No. 71

Unit cell a=6.2282 b=6.2282 c=6.2282 alpha=152.95 beta=135.01 gamma=53.28
Positions (direct):
Ru 0.7500 0.2500 0.5000
As 0.9298 0.9298 0.0000
As 0.5702 0.5702 0.0000
Ag 0.2500 0.7500 0.5000

***

Record 12
# AgAsRu2

Crystalline AgAsRu2 at its relaxed geometry (PBE, the Alexandria database).

Results
energy: -0.2263 Ha/atom
crystal system: monoclinic
calculated formation energy: 0.356 eV per atom
symmetry: Cm, No. 8

Unit cell a=4.8559 b=4.8559 c=4.8827 alpha=77.79 beta=77.79 gamma=34.71
Positions (direct):
Ru 0.0032 0.0032 0.0105
Ru 0.2635 0.2635 0.1936
As 0.7323 0.7323 0.7981
Ag 0.5010 0.5010 0.4978